Entry from Alexandria: ScTaGa after structural relaxation (PBE).

Computed properties:
Magnetization (μB/atom): 0.00
SG: P4/nmm (129)
Formation enthalpy at 0 K (eV/atom): -0.38
N(E_F) (states/eV per atom): 0.58

Unit cell a=3.9456 b=3.9456 c=7.5432 alpha=90.00 beta=90.00 gamma=90.00
Closest atoms and distances in Å follow each position.
Positions (direct):
Ga  0.5000  0.0000  0.7687  4 Ta 2.83, 5 Sc 2.84-2.94
Ga  0.0000  0.5000  0.2313  4 Ta 2.83, 5 Sc 2.84-2.94
Ta  0.5000  0.5000  0.5000  4 Ta 2.79, 4 Ga 2.83
Sc  0.5000  0.0000  0.1583  5 Ga 2.84-2.94
Sc  0.0000  0.5000  0.8417  5 Ga 2.84-2.94
Ta  0.0000  0.0000  0.5000  4 Ta 2.79, 4 Ga 2.83

Entry from Alexandria: LaInNi after structural relaxation (PBE).

Computed properties:
Magnetization (μB/atom): 0.00
SG: P-6m2 (187)
Formation enthalpy at 0 K (eV/atom): -0.36
N(E_F) (states/eV per atom): 0.86

Unit cell a=4.6039 b=4.6039 c=3.9542 alpha=90.00 beta=90.00 gamma=120.00
Closest atoms and distances in Å follow each position.
Positions (direct):
Ni  0.6667  0.3333  0.8333  3 In 2.66
La  0.3333  0.6667  0.3333  6 In 3.31, 6 Ni 3.31
In  0.0000  0.0000  0.8334  3 Ni 2.66